a.
This record from the Alexandria database describes a relaxed TaBe2Cu crystal. The functional is GGA-PBEsol.

The structure belongs to space group R-3m (No. 166, hexagonal axes); the cell edges are 3.6035, 3.6035 and 11.9865 Å and the angles 90.00°, 90.00° and 120.00°. The asymmetric unit holds Ta at (0.0000, 0.0000, 0.0000), Be at (0.0000, 0.0000, 0.2114) and Cu at (0.0000, 0.0000, 0.5000).

The value obtained for the theoretical density is 9.7 g/cm3.

---

b.
This record from the Alexandria database describes a relaxed TaBe2Cu crystal. The functional is GGA-PBEsol.

The structure belongs to space group P4/mmm (No. 123); the cell edges are 3.8433, 3.8433 and 3.1578 Å and the angles 90.00°, 90.00° and 90.00°. The asymmetric unit holds Ta at (0.0000, 0.0000, 0.0000), Be at (0.0000, 0.5000, 0.5000) and Cu at (0.5000, 0.5000, 0.0000).

The value obtained for the theoretical density is 9.3 g/cm3.

---

Which of them is the least stable? Correct choice: b.

---

a.
This record from the Alexandria database describes a relaxed Be2TlCu crystal. The functional is GGA-PBEsol.

The structure belongs to space group C2/m (No. 12); the cell edges are 5.1392, 8.2899 and 3.0586 Å and the angles 90.00°, 118.13° and 90.00°. The asymmetric unit holds Be at (0.2500, 0.2500, 0.0000), Tl at (0.0000, 0.0000, 0.0000) and Cu at (0.0000, 0.5000, 0.0000).

The value obtained for the theoretical density is 8.3 g/cm3.

---

b.
This record from the Alexandria database describes a relaxed Be2TlCu crystal. The functional is GGA-PBEsol.

The structure belongs to space group P2/m (No. 10); the cell edges are 2.9510, 3.9563 and 4.8962 Å and the angles 90.00°, 98.64° and 90.00°. The asymmetric unit holds Be at (0.2035, 0.0000, 0.3216), Tl at (0.0000, 0.5000, 0.0000) and Cu at (0.5000, 0.5000, 0.5000).

The value obtained for the theoretical density is 8.4 g/cm3.

---

c.
This record from the Alexandria database describes a relaxed Be2TlCu crystal. The functional is GGA-PBEsol.

The structure belongs to space group I4/mmm (No. 139); the cell edges are 3.7839, 3.7839 and 7.3034 Å and the angles 90.00°, 90.00° and 90.00°. The asymmetric unit holds Be at (0.0000, 0.5000, 0.2500), Tl at (0.0000, 0.0000, 0.0000) and Cu at (0.0000, 0.0000, 0.5000).

The value obtained for the theoretical density is 9.1 g/cm3.

---

d.
This record from the Alexandria database describes a relaxed Be2TlCu crystal. The functional is GGA-PBEsol.

The structure belongs to space group Fm-3m (No. 225); the cell edges are 5.9117, 5.9117 and 5.9117 Å and the angles 90.00°, 90.00° and 90.00°. The asymmetric unit holds Be at (0.2500, 0.2500, 0.2500), Tl at (0.0000, 0.0000, 0.0000) and Cu at (0.0000, 0.0000, 0.5000).

The value obtained for the theoretical density is 9.2 g/cm3.

---

Which of them is the least stable? Correct choice: a.

---

a.
This record from the Alexandria database describes a relaxed BeCuW crystal. The functional is GGA-PBEsol.

The structure belongs to space group P3m1 (No. 156); the cell edges are 2.6417, 2.6417 and 6.1770 Å and the angles 90.00°, 90.00° and 120.00°. The asymmetric unit holds Be at (0.0000, 0.0000, 0.0000), Cu at (0.6667, 0.3333, 0.7048) and W at (0.3333, 0.6667, 0.3388).

The value obtained for the theoretical density is 11.4 g/cm3.

---

b.
This record from the Alexandria database describes a relaxed BeCuW crystal. The functional is GGA-PBEsol.

The structure belongs to space group F-43m (No. 216); the cell edges are 5.5882, 5.5882 and 5.5882 Å and the angles 90.00°, 90.00° and 90.00°. The asymmetric unit holds Be at (0.0000, 0.0000, 0.0000), Cu at (0.0000, 0.0000, 0.5000) and W at (0.2500, 0.2500, 0.7500).

The value obtained for the theoretical density is 9.8 g/cm3.

---

Which of them is the least stable? Correct choice: b.

---

a.
This record from the Alexandria database describes a relaxed BeCuW2 crystal. The functional is GGA-PBEsol.

The structure belongs to space group I-4m2 (No. 119); the cell edges are 3.6131, 3.6131 and 8.0091 Å and the angles 90.00°, 90.00° and 90.00°. The asymmetric unit holds Be at (0.0000, 0.0000, 0.0000), Cu at (0.0000, 0.5000, 0.2500), W at (0.0000, 0.0000, 0.5000) and W at (0.0000, 0.5000, 0.7500).

The value obtained for the theoretical density is 14.0 g/cm3.

---

b.
This record from the Alexandria database describes a relaxed BeCuW2 crystal. The functional is GGA-PBEsol.

The structure belongs to space group P4/mmm (No. 123); the cell edges are 2.6579, 2.6579 and 7.2161 Å and the angles 90.00°, 90.00° and 90.00°. The asymmetric unit holds Be at (0.0000, 0.0000, 0.0000), Cu at (0.0000, 0.0000, 0.5000) and W at (0.5000, 0.5000, 0.2280).

The value obtained for the theoretical density is 14.3 g/cm3.

---

c.
This record from the Alexandria database describes a relaxed BeCuW2 crystal. The functional is GGA-PBEsol.

The structure belongs to space group Fm-3m (No. 225); the cell edges are 5.8870, 5.8870 and 5.8870 Å and the angles 90.00°, 90.00° and 90.00°. The asymmetric unit holds Be at (0.0000, 0.0000, 0.0000), Cu at (0.0000, 0.0000, 0.5000) and W at (0.2500, 0.2500, 0.2500).

The value obtained for the theoretical density is 14.3 g/cm3.

---

d.
This record from the Alexandria database describes a relaxed BeCuW2 crystal. The functional is GGA-PBEsol.

The structure belongs to space group Pm (No. 6); the cell edges are 2.7023, 4.0067 and 4.8889 Å and the angles 90.00°, 100.15° and 90.00°. The asymmetric unit holds Be at (0.0000, 0.0000, 0.0000), Cu at (0.0704, 0.5000, 0.2484), W at (0.4233, 0.5000, 0.7858) and W at (0.6539, 0.0000, 0.4868).

The value obtained for the theoretical density is 14.0 g/cm3.

---

Which of them is the least stable? Correct choice: c.

---

a.
This record from the Alexandria database describes a relaxed YBe3Cu crystal. The functional is GGA-PBEsol.

The structure belongs to space group Pm-3m (No. 221); the cell edges are 4.8589, 4.8589 and 4.8589 Å and the angles 90.00°, 90.00° and 90.00°. The asymmetric unit holds Y at (0.0000, 0.0000, 0.0000), Be at (0.0000, 0.0000, 0.5000) and Cu at (0.5000, 0.5000, 0.5000).

The value obtained for the theoretical density is 2.6 g/cm3.

---

b.
This record from the Alexandria database describes a relaxed YBe3Cu crystal. The functional is GGA-PBEsol.

The structure belongs to space group Pm-3m (No. 221); the cell edges are 4.0998, 4.0998 and 4.0998 Å and the angles 90.00°, 90.00° and 90.00°. The asymmetric unit holds Y at (0.0000, 0.0000, 0.0000), Be at (0.0000, 0.5000, 0.5000) and Cu at (0.5000, 0.5000, 0.5000).

The value obtained for the theoretical density is 4.3 g/cm3.

---

Which of them is the least stable? Correct choice: a.

---

a.
This record from the Alexandria database describes a relaxed BeZnCu2 crystal. The functional is GGA-PBEsol.

The structure belongs to space group I4/mmm (No. 139); the cell edges are 3.9117, 3.9117 and 5.7600 Å and the angles 90.00°, 90.00° and 90.00°. The asymmetric unit holds Be at (0.0000, 0.0000, 0.0000), Zn at (0.0000, 0.0000, 0.5000) and Cu at (0.0000, 0.5000, 0.2500).

The value obtained for the theoretical density is 7.6 g/cm3.

---

b.
This record from the Alexandria database describes a relaxed BeZnCu2 crystal. The functional is GGA-PBEsol.

The structure belongs to space group I-4m2 (No. 119); the cell edges are 3.4822, 3.4822 and 7.2760 Å and the angles 90.00°, 90.00° and 90.00°. The asymmetric unit holds Be at (0.0000, 0.0000, 0.0000), Zn at (0.0000, 0.5000, 0.7500), Cu at (0.0000, 0.0000, 0.5000) and Cu at (0.0000, 0.5000, 0.2500).

The value obtained for the theoretical density is 7.6 g/cm3.

---

Which of them is the least stable? Correct choice: b.